No. 1
Here is an optimized crystal structure of Li2BeMo from Alexandria via LeMat-Bulk. Energies are from GGA-PBE.

extended XYZ file:
```
4
Lattice="-1.8006 0.6141 1.5584 1.2080 -3.3764 2.7263 3.0122 2.9494 2.3181" Properties=species:S:1:pos:R:3 pbc="T T T"
Li -0.2963 -1.3811 2.1423
Li 0.0000 0.0000 0.0000
Be 2.1101 -0.2135 2.5222
Mo 0.6058 1.7818 1.9382
```

The value obtained for the total moment is 0.000 Bohr magnetons per cell. As for the energy above the lowest structure with this stoichiometry: 107 meV/atom.

---

No. 2
Here is an optimized crystal structure of YInHg4 from Alexandria via LeMat-Bulk. Energies are from GGA-PBE.

extended XYZ file:
```
12
Lattice="-3.2760 2.9124 2.5800 -2.5181 -7.0005 4.7052 1.2313 4.3930 7.1950" Properties=species:S:1:pos:R:3 pbc="T T T"
In -0.6434 -1.3037 5.9501
In -1.0223 3.6527 4.8875
Hg -3.5992 -0.3216 11.3209
Hg -3.8612 -1.4168 6.8025
Hg -3.0218 0.9144 5.2346
Hg -0.9636 0.6266 3.1593
Hg -1.9192 4.3465 8.1823
Hg -1.5409 -0.6094 9.2456
Hg -0.7016 1.7218 7.6777
Hg -2.6435 -4.0415 6.2979
Y -2.8970 -2.0440 3.6426
Y 0.0000 0.0000 0.0000
```

The value obtained for the total moment is 0.000 Bohr magnetons per cell. As for the energy above the lowest structure with this stoichiometry: 0 meV/atom.

---

Number 1: raw total energy -0.1575 Ha/atom, DFT formation energy 310 meV/atom, DOS(E_F) 1.920 states/eV/f.u.. Number 2: raw total energy -0.0720 Ha/atom, DFT formation energy -223 meV/atom, DOS(E_F) 2.686 states/eV/f.u..